[1]
A plane-wave DFT calculation with PBE-GGA was carried out for a geometry-optimized LiCuBr2 structure.

## Properties
**E above lowest polymorph**: 0.74 eV per formula unit
**Total magnetic moment**: 0.0000 μB per atom

Cell: 5.6914 5.6914 5.6914 Å, 141.99 101.07 91.15°
Element x y z (fractional)
Li1 0.0000 0.0000 0.0000
Cu1 0.5000 0.0000 0.5000
Br1 0.2581 0.5000 0.7581
Br2 0.7419 0.5000 0.2419

[2]
A plane-wave DFT calculation with PBE-GGA was carried out for a geometry-optimized Li3Cu5Br12 structure.

## Properties
**VASP energy**: -0.1066 Ha/atom
**Total magnetic moment**: 0.0000 μB per atom

Cell: 14.0329 14.0329 14.0329 Å, 109.47 109.47 109.47°
Element x y z (fractional)
Li1 0.1250 0.2500 0.3750
Li2 0.1250 0.3750 0.7500
Li3 0.2500 0.3750 0.1250
Li4 0.2500 0.8750 0.6250
Li5 0.3750 0.1250 0.2500
Li6 0.3750 0.7500 0.1250
Li7 0.6250 0.2500 0.8750
Li8 0.6250 0.8750 0.7500
Li9 0.7500 0.1250 0.3750
Li10 0.7500 0.6250 0.8750
Li11 0.8750 0.6250 0.2500
Li12 0.8750 0.7500 0.6250
Cu1 0.0000 0.0000 0.0000
Cu2 0.0000 0.0000 0.5000
Cu3 0.0000 0.5000 0.0000
Cu4 0.0000 0.5000 0.5000
Cu5 0.1250 0.7500 0.8750
Cu6 0.1250 0.8750 0.2500
Cu7 0.2500 0.1250 0.8750
Cu8 0.2500 0.6250 0.3750
Cu9 0.3750 0.2500 0.6250
Cu10 0.3750 0.6250 0.7500
Cu11 0.5000 0.0000 0.0000
Cu12 0.5000 0.0000 0.5000
Cu13 0.5000 0.5000 0.0000
Cu14 0.5000 0.5000 0.5000
Cu15 0.6250 0.3750 0.2500
Cu16 0.6250 0.7500 0.3750
Cu17 0.7500 0.3750 0.6250
Cu18 0.7500 0.8750 0.1250
Cu19 0.8750 0.1250 0.7500
Cu20 0.8750 0.2500 0.1250
Br1 0.0176 0.1879 0.1370
Br2 0.0176 0.3297 0.8807
Br3 0.0510 0.6879 0.6703
Br4 0.0510 0.8630 0.3807
Br5 0.1193 0.6370 0.4490
Br6 0.1193 0.9824 0.6703
Br7 0.1370 0.0176 0.1879
Br8 0.1370 0.6193 0.9490
Br9 0.1703 0.1879 0.5510
Br10 0.1703 0.4824 0.6193
Br11 0.1879 0.1370 0.0176
Br12 0.1879 0.5510 0.1703
Br13 0.3121 0.3297 0.9490
Br14 0.3121 0.4824 0.3630
Br15 0.3297 0.8807 0.0176
Br16 0.3297 0.9490 0.3121
Br17 0.3630 0.3121 0.4824
Br18 0.3630 0.5510 0.8807
Br19 0.3807 0.0510 0.8630
Br20 0.3807 0.8297 0.5176
Br21 0.4490 0.1193 0.6370
Br22 0.4490 0.8297 0.8121
Br23 0.4824 0.3630 0.3121
Br24 0.4824 0.6193 0.1703
Br25 0.5176 0.3807 0.8297
Br26 0.5176 0.6370 0.6879
Br27 0.5510 0.1703 0.1879
Br28 0.5510 0.8807 0.3630
Br29 0.6193 0.1703 0.4824
Br30 0.6193 0.9490 0.1370
Br31 0.6370 0.4490 0.1193
Br32 0.6370 0.6879 0.5176
Br33 0.6703 0.0510 0.6879
Br34 0.6703 0.1193 0.9824
Br35 0.6879 0.5176 0.6370
Br36 0.6879 0.6703 0.0510
Br37 0.8121 0.4490 0.8297
Br38 0.8121 0.8630 0.9824
Br39 0.8297 0.5176 0.3807
Br40 0.8297 0.8121 0.4490
Br41 0.8630 0.3807 0.0510
Br42 0.8630 0.9824 0.8121
Br43 0.8807 0.0176 0.3297
Br44 0.8807 0.3630 0.5510
Br45 0.9490 0.1370 0.6193
Br46 0.9490 0.3121 0.3297
Br47 0.9824 0.6703 0.1193
Br48 0.9824 0.8121 0.8630

[3]
A plane-wave DFT calculation with PBE-GGA was carried out for a geometry-optimized Li2CuBr structure.

## Properties
**E above lowest polymorph**: 0.06 eV per formula unit
**Total magnetic moment**: 0.0000 μB per atom

Cell: 6.7143 6.7143 3.5692 Å, 104.88 104.88 30.83°
Element x y z (fractional)
Li1 0.0000 0.0000 0.0000
Li2 0.6469 0.6469 0.6411
Cu1 0.2175 0.2175 0.2093
Br1 0.4394 0.4394 0.4410

[4]
A plane-wave DFT calculation with PBE-GGA was carried out for a geometry-optimized LiCuBr2 structure.

## Properties
**E above lowest polymorph**: 0.00 eV per formula unit
**Total magnetic moment**: 0.0000 μB per atom

Cell: 7.1097 7.1097 7.1097 Å, 131.84 131.84 70.47°
Element x y z (fractional)
Li1 0.0000 0.0000 0.0000
Li2 0.7500 0.2500 0.5000
Cu1 0.2500 0.7500 0.5000
Cu2 0.5000 0.5000 0.0000
Br1 0.1356 0.6250 0.0106
Br2 0.3750 0.3856 0.5106
Br3 0.6144 0.1250 0.9894
Br4 0.8750 0.8644 0.4894

[5]
A plane-wave DFT calculation with PBE-GGA was carried out for a geometry-optimized Li2CuBr structure.

## Properties
**E above lowest polymorph**: 0.07 eV per formula unit
**Total magnetic moment**: 0.0000 μB per atom

Cell: 3.6389 3.6389 5.8938 Å, 90.00 90.00 90.00°
Element x y z (fractional)
Li1 0.0000 0.0000 0.0000
Li2 0.5000 0.5000 0.3451
Cu1 0.5000 0.5000 0.8924
Br1 0.0000 0.0000 0.4437

[6]
A plane-wave DFT calculation with PBE-GGA was carried out for a geometry-optimized Li3CuBr4 structure.

## Properties
**VASP energy**: -0.1205 Ha/atom
**Total magnetic moment**: 0.0200 μB per atom

Cell: 7.1586 7.1586 7.1586 Å, 131.69 131.69 70.72°
Element x y z (fractional)
Li1 0.0000 0.0000 0.0000
Li2 0.2500 0.7500 0.5000
Li3 0.7500 0.2500 0.5000
Cu1 0.5000 0.5000 0.0000
Br1 0.1319 0.1319 0.5099
Br2 0.3780 0.8681 0.0000
Br3 0.6220 0.6220 0.4901
Br4 0.8681 0.3780 0.0000

[7]
A plane-wave DFT calculation with PBE-GGA was carried out for a geometry-optimized LiCu2Br structure.

## Properties
**E above lowest polymorph**: 2.21 eV per formula unit
**Total magnetic moment**: 0.0000 μB per atom

Cell: 4.5449 4.5449 4.5449 Å, 60.00 60.00 60.00°
Element x y z (fractional)
Li1 0.0000 0.0000 0.0000
Cu1 0.2500 0.2500 0.2500
Cu2 0.7500 0.7500 0.7500
Br1 0.5000 0.5000 0.5000

[8]
A plane-wave DFT calculation with PBE-GGA was carried out for a geometry-optimized Li2CuBr structure.

## Properties
**E above lowest polymorph**: 0.72 eV per formula unit
**Total magnetic moment**: 0.0000 μB per atom

Cell: 4.7362 4.7362 4.7362 Å, 60.00 60.00 60.00°
Element x y z (fractional)
Li1 0.2500 0.2500 0.2500
Li2 0.7500 0.7500 0.7500
Cu1 0.0000 0.0000 0.0000
Br1 0.5000 0.5000 0.5000

[9]
A plane-wave DFT calculation with PBE-GGA was carried out for a geometry-optimized Li3CuBr4 structure.

## Properties
**VASP energy**: -0.1206 Ha/atom
**Total magnetic moment**: 0.0000 μB per atom

Cell: 13.7047 13.7047 13.7047 Å, 17.36 17.36 17.36°
Element x y z (fractional)
Li1 0.0000 0.0000 0.0000
Li2 0.2486 0.2486 0.2486
Li3 0.4973 0.4973 0.4973
Cu1 0.7488 0.7488 0.7488
Br1 0.1855 0.1855 0.1855
Br2 0.4339 0.4339 0.4339
Br3 0.6873 0.6873 0.6873
Br4 0.9368 0.9368 0.9368

[10]
A plane-wave DFT calculation with PBE-GGA was carried out for a geometry-optimized LiCu2Br structure.

## Properties
**E above lowest polymorph**: 1.12 eV per formula unit
**Total magnetic moment**: 0.0000 μB per atom

Cell: 6.1770 6.1770 6.1770 Å, 146.55 144.70 49.42°
Element x y z (fractional)
Li1 0.0000 0.0000 0.0000
Cu1 0.5306 0.5306 0.0000
Cu2 0.6734 0.1734 0.5000
Br1 0.3423 0.8423 0.5000

[11]
A plane-wave DFT calculation with PBE-GGA was carried out for a geometry-optimized LiCu2Br4 structure.

## Properties
**VASP energy**: -0.1120 Ha/atom
**Total magnetic moment**: 0.1178 μB per atom

Cell: 5.5778 5.5778 5.9671 Å, 90.00 90.00 90.00°
Element x y z (fractional)
Li1 0.0000 0.0000 0.0000
Cu1 0.0000 0.5000 0.5000
Cu2 0.5000 0.0000 0.5000
Br1 0.2561 0.2561 0.2588
Br2 0.2561 0.7439 0.7412
Br3 0.7439 0.2561 0.7412
Br4 0.7439 0.7439 0.2588

[12]
A plane-wave DFT calculation with PBE-GGA was carried out for a geometry-optimized Li2CuBr3 structure.

## Properties
**VASP energy**: -0.1199 Ha/atom
**Total magnetic moment**: 0.0110 μB per atom

Cell: 7.1488 7.1488 7.1488 Å, 146.55 59.97 131.77°
Element x y z (fractional)
Li1 0.1661 0.0000 0.1661
Li2 0.8339 0.0000 0.8339
Cu1 0.4956 0.9956 0.5000
Br1 0.2617 0.2617 0.0000
Br2 0.5819 0.2456 0.3363
Br3 0.9093 0.2456 0.6637